{
  "formula": "PmPr4Dy7",
  "functional": "PBE-GGA",
  "state": "optimized geometry",
  "space_group": "C2/m (12)",
  "total_energy_ev_per_cell": -53.078,
  "ef_ev_per_atom": 0.25,
  "relative_energy_ev_per_atom": 0.165,
  "cell": [[-3.007, 2.749, 4.350], [-10.158, 3.260, -5.000], [-4.026, -3.930, 3.783]],
  "species": ["Dy", "Dy", "Dy", "Dy", "Dy", "Dy", "Dy", "Pr", "Pr", "Pr", "Pr", "Pm"],
  "fractional_positions": [[0.211, 0.077, 0.501], [0.931, 0.315, 0.822], [0.789, 0.923, 0.499], [0.632, 0.504, 0.232], [0.069, 0.685, 0.178], [0.368, 0.496, 0.768], [0.500, 0.000, 0.000], [0.774, 0.668, 0.783], [0.226, 0.332, 0.217], [0.364, 0.777, 0.495], [0.636, 0.223, 0.505], [0.000, 0.000, 0.000]]
}

{
  "formula": "Pm2PrDy8",
  "functional": "PBE-GGA",
  "state": "optimized geometry",
  "space_group": "Immm (71)",
  "total_energy_ev_per_cell": -49.857,
  "ef_ev_per_atom": 0.11,
  "relative_energy_ev_per_atom": 0.000,
  "cell": [[-3.403, 3.559, -2.537], [1.815, -3.383, -7.180], [-5.292, -5.265, 5.759]],
  "species": ["Dy", "Dy", "Dy", "Dy", "Dy", "Dy", "Dy", "Dy", "Pr", "Pm", "Pm"],
  "fractional_positions": [[0.361, 0.154, 0.722], [0.838, 0.838, 0.677], [0.639, 0.432, 0.278], [0.000, 0.294, 0.000], [0.162, 0.162, 0.323], [0.639, 0.846, 0.278], [0.000, 0.706, 0.000], [0.361, 0.568, 0.722], [0.500, 0.000, 0.000], [0.800, 0.300, 0.600], [0.200, 0.700, 0.400]]
}

{
  "formula": "PmPr2Dy",
  "functional": "PBE-GGA",
  "state": "optimized geometry",
  "space_group": "P4/mmm (123)",
  "total_energy_ev_per_cell": -18.840,
  "ef_ev_per_atom": 0.02,
  "relative_energy_ev_per_atom": 0.005,
  "cell": [[3.659, 0.000, 0.000], [0.000, 3.659, 0.000], [0.000, 0.000, 10.325]],
  "species": ["Pm", "Pr", "Pr", "Dy"],
  "fractional_positions": [[0.500, 0.500, 0.000], [0.000, 0.000, 0.747], [0.000, 0.000, 0.253], [0.500, 0.500, 0.500]]
}

{
  "formula": "Pm5PrDy5",
  "functional": "PBE-GGA",
  "state": "optimized geometry",
  "space_group": "P-6m2 (187)",
  "total_energy_ev_per_cell": -48.349,
  "ef_ev_per_atom": 0.29,
  "cell": [[-4.096, -0.282, -4.571], [0.851, -4.856, 3.666], [-8.346, 3.995, 7.231]],
  "species": ["Pr", "Dy", "Dy", "Dy", "Dy", "Dy", "Pm", "Pm", "Pm", "Pm", "Pm"],
  "fractional_positions": [[0.333, 0.667, 0.000], [0.833, 0.666, 0.500], [0.000, 0.000, 0.266], [0.334, 0.167, 0.500], [0.000, 0.000, 0.734], [0.833, 0.167, 0.500], [0.667, 0.333, 0.843], [0.333, 0.667, 0.677], [0.667, 0.333, 0.157], [0.000, 0.000, 0.000], [0.333, 0.667, 0.323]]
}

{
  "formula": "PmPr2Dy6",
  "functional": "PBE-GGA",
  "state": "optimized geometry",
  "space_group": "C2/m (12)",
  "total_energy_ev_per_cell": -40.982,
  "ef_ev_per_atom": 0.10,
  "relative_energy_ev_per_atom": 0.000,
  "cell": [[-3.127, 0.338, 1.565], [-4.924, -7.342, -4.334], [-0.410, -8.507, 4.938]],
  "species": ["Dy", "Dy", "Dy", "Dy", "Dy", "Dy", "Pm", "Pr", "Pr"],
  "fractional_positions": [[0.500, 0.312, 0.688], [0.178, 0.656, 0.989], [0.822, 0.344, 0.011], [0.500, 0.688, 0.312], [0.178, 0.989, 0.656], [0.822, 0.011, 0.344], [0.000, 0.000, 0.000], [0.843, 0.657, 0.657], [0.157, 0.343, 0.343]]
}

{
  "formula": "Pm3Pr8Dy4",
  "functional": "PBE-GGA",
  "state": "optimized geometry",
  "space_group": "C2/m (12)",
  "total_energy_ev_per_cell": -66.142,
  "ef_ev_per_atom": 0.32,
  "cell": [[6.951, -0.131, -0.189], [-3.386, 8.648, 1.619], [-3.386, -1.484, 8.673]],
  "species": ["Pr", "Pr", "Pr", "Pr", "Pr", "Pr", "Pr", "Pr", "Dy", "Dy", "Dy", "Dy", "Pm", "Pm", "Pm"],
  "fractional_positions": [[0.500, 0.754, 0.246], [0.000, 0.706, 0.294], [0.500, 0.246, 0.754], [0.773, 0.295, 0.295], [0.209, 0.245, 0.245], [0.791, 0.755, 0.755], [0.000, 0.294, 0.706], [0.227, 0.705, 0.705], [0.000, 0.500, 0.000], [0.000, 0.000, 0.500], [0.000, 0.000, 0.000], [0.500, 0.000, 0.000], [0.500, 0.500, 0.500], [0.500, 0.000, 0.500], [0.500, 0.500, 0.000]]
}

{
  "formula": "Pm6Pr5Dy2",
  "functional": "PBE-GGA",
  "state": "optimized geometry",
  "space_group": "Pbam (55)",
  "total_energy_ev_per_cell": -120.903,
  "ef_ev_per_atom": 0.09,
  "cell": [[3.666, 0.000, 0.000], [0.000, 11.853, 0.000], [0.000, 0.000, 21.004]],
  "species": ["Pm", "Pm", "Pm", "Pm", "Pm", "Pm", "Pm", "Pm", "Pm", "Pm", "Pm", "Pm", "Pr", "Pr", "Pr", "Pr", "Pr", "Pr", "Pr", "Pr", "Pr", "Pr", "Dy", "Dy", "Dy", "Dy"],
  "fractional_positions": [[0.000, 0.563, 0.419], [0.500, 0.325, 0.139], [0.000, 0.918, 0.632], [0.500, 0.675, 0.861], [0.000, 0.063, 0.081], [0.000, 0.082, 0.368], [0.500, 0.175, 0.639], [0.500, 0.825, 0.361], [0.000, 0.437, 0.581], [0.000, 0.582, 0.132], [0.000, 0.418, 0.868], [0.000, 0.937, 0.919], [0.500, 0.500, 0.000], [0.500, 0.585, 0.273], [0.500, 0.915, 0.773], [0.500, 0.000, 0.500], [0.500, 0.197, 0.947], [0.500, 0.085, 0.227], [0.500, 0.303, 0.447], [0.500, 0.415, 0.727], [0.500, 0.697, 0.553], [0.500, 0.803, 0.053], [0.000, 0.329, 0.289], [0.000, 0.171, 0.789], [0.000, 0.829, 0.211], [0.000, 0.671, 0.711]]
}

{
  "formula": "Pm2Pr5Dy2",
  "functional": "PBE-GGA",
  "state": "optimized geometry",
  "space_group": "C2/m (12)",
  "total_energy_ev_per_cell": -42.459,
  "ef_ev_per_atom": 0.02,
  "relative_energy_ev_per_atom": 0.000,
  "cell": [[-4.304, -1.647, -4.378], [1.677, -2.670, 5.520], [-1.080, 7.019, 12.296]],
  "species": ["Dy", "Dy", "Pr", "Pr", "Pr", "Pr", "Pr", "Pm", "Pm"],
  "fractional_positions": [[0.110, 0.667, 0.777], [0.890, 0.333, 0.223], [0.555, 0.334, 0.888], [0.778, 0.667, 0.445], [0.445, 0.666, 0.112], [0.222, 0.333, 0.555], [0.000, 0.000, 0.000], [0.669, 0.000, 0.668], [0.331, 0.000, 0.332]]
}

{
  "formula": "Pm5Pr2Dy2",
  "functional": "PBE-GGA",
  "state": "optimized geometry",
  "space_group": "Ima2 (46)",
  "total_energy_ev_per_cell": -81.461,
  "ef_ev_per_atom": 0.20,
  "relative_energy_ev_per_atom": 0.100,
  "cell": [[12.010, 0.000, 0.000], [0.000, 6.868, 0.000], [-6.005, -3.434, 7.520]],
  "species": ["Pm", "Pm", "Pm", "Pm", "Pm", "Pm", "Pm", "Pm", "Pm", "Pm", "Dy", "Dy", "Dy", "Dy", "Pr", "Pr", "Pr", "Pr"],
  "fractional_positions": [[0.197, 0.656, 0.894], [0.591, 0.237, 0.714], [0.377, 0.023, 0.286], [0.992, 0.160, 0.500], [0.623, 0.737, 0.714], [0.803, 0.262, 0.106], [0.197, 0.156, 0.894], [0.803, 0.762, 0.106], [0.008, 0.660, 0.500], [0.409, 0.523, 0.286], [0.258, 0.349, 0.500], [0.742, 0.849, 0.500], [0.500, 0.530, 0.000], [0.000, 0.030, 0.000], [0.129, 0.686, 0.252], [0.871, 0.434, 0.748], [0.377, 0.934, 0.748], [0.623, 0.186, 0.252]]
}

{
  "formula": "Pm4Pr8Dy3",
  "functional": "PBE-GGA",
  "state": "optimized geometry",
  "space_group": "C2/m (12)",
  "total_energy_ev_per_cell": -66.428,
  "ef_ev_per_atom": 0.31,
  "relative_energy_ev_per_atom": 0.181,
  "cell": [[-5.056, 4.284, -2.068], [-1.757, -3.611, 8.507], [6.712, 4.570, 4.750]],
  "species": ["Pm", "Pm", "Pm", "Pm", "Dy", "Dy", "Dy", "Pr", "Pr", "Pr", "Pr", "Pr", "Pr", "Pr", "Pr"],
  "fractional_positions": [[0.000, 0.000, 0.000], [0.000, 0.500, 0.000], [0.500, 0.000, 0.000], [0.000, 0.000, 0.500], [0.500, 0.000, 0.500], [0.500, 0.500, 0.500], [0.500, 0.500, 0.000], [0.500, 0.753, 0.247], [0.252, 0.247, 0.247], [0.000, 0.703, 0.297], [0.201, 0.703, 0.703], [0.799, 0.297, 0.297], [0.748, 0.753, 0.753], [0.500, 0.247, 0.753], [0.000, 0.297, 0.703]]
}

{
  "formula": "PmPr2Dy",
  "functional": "PBE-GGA",
  "state": "optimized geometry",
  "space_group": "P4/mmm (123)",
  "total_energy_ev_per_cell": -18.849,
  "ef_ev_per_atom": 0.02,
  "relative_energy_ev_per_atom": 0.003,
  "cell": [[5.144, 0.000, 0.000], [0.000, 5.178, 0.000], [0.000, 0.000, 5.178]],
  "species": ["Pr", "Pr", "Dy", "Pm"],
  "fractional_positions": [[0.000, 0.500, 0.000], [0.000, 0.000, 0.500], [0.500, 0.500, 0.500], [0.500, 0.000, 0.000]]
}

{
  "formula": "Pm5Pr12Dy2",
  "functional": "PBE-GGA",
  "state": "optimized geometry",
  "space_group": "C2/m (12)",
  "total_energy_ev_per_cell": -87.888,
  "ef_ev_per_atom": 0.13,
  "relative_energy_ev_per_atom": 0.000,
  "cell": [[6.885, 0.000, -2.213], [-0.918, 8.372, -2.855], [0.035, -0.144, 11.924]],
  "species": ["Pm", "Pm", "Pm", "Pm", "Pm", "Pr", "Pr", "Pr", "Pr", "Pr", "Pr", "Pr", "Pr", "Pr", "Pr", "Pr", "Pr", "Dy", "Dy"],
  "fractional_positions": [[0.351, 0.903, 0.701], [0.000, 0.500, 0.000], [0.249, 0.490, 0.497], [0.751, 0.510, 0.503], [0.649, 0.097, 0.299], [0.362, 0.384, 0.211], [0.452, 0.303, 0.903], [0.453, 0.793, 0.402], [0.850, 0.384, 0.211], [0.638, 0.616, 0.789], [0.548, 0.697, 0.097], [0.051, 0.207, 0.598], [0.859, 0.945, 0.718], [0.949, 0.793, 0.402], [0.547, 0.207, 0.598], [0.150, 0.616, 0.789], [0.141, 0.055, 0.282], [0.258, 0.000, 0.000], [0.742, 0.000, 0.000]]
}

{
  "formula": "PmPr3Dy7",
  "functional": "PBE-GGA",
  "state": "optimized geometry",
  "space_group": "P-1 (2)",
  "total_energy_ev_per_cell": -49.979,
  "ef_ev_per_atom": 0.12,
  "relative_energy_ev_per_atom": 0.000,
  "cell": [[6.694, 0.418, -0.081], [0.847, 8.577, 1.103], [-0.522, 0.222, 6.543]],
  "species": ["Pm", "Dy", "Dy", "Dy", "Dy", "Dy", "Dy", "Dy", "Pr", "Pr", "Pr"],
  "fractional_positions": [[0.500, 0.500, 0.500], [0.777, 0.216, 0.274], [0.707, 0.856, 0.559], [0.293, 0.144, 0.441], [0.000, 0.500, 0.500], [0.265, 0.417, 0.014], [0.735, 0.583, 0.986], [0.223, 0.784, 0.726], [0.937, 0.162, 0.800], [0.500, 0.000, 0.000], [0.063, 0.838, 0.200]]
}

{
  "formula": "Pm2Pr5Dy2",
  "functional": "PBE-GGA",
  "state": "optimized geometry",
  "space_group": "Ima2 (46)",
  "total_energy_ev_per_cell": -81.513,
  "ef_ev_per_atom": 0.21,
  "relative_energy_ev_per_atom": 0.189,
  "cell": [[-3.759, -0.664, -11.363], [3.545, -5.918, -0.827], [-5.950, -0.649, 8.329]],
  "species": ["Pm", "Pm", "Pm", "Pm", "Pr", "Pr", "Pr", "Pr", "Pr", "Pr", "Pr", "Pr", "Pr", "Pr", "Dy", "Dy", "Dy", "Dy"],
  "fractional_positions": [[0.131, 0.680, 0.253], [0.869, 0.427, 0.747], [0.378, 0.927, 0.747], [0.622, 0.180, 0.253], [0.590, 0.234, 0.714], [0.191, 0.660, 0.895], [0.797, 0.266, 0.105], [0.377, 0.020, 0.286], [0.623, 0.734, 0.714], [0.995, 0.158, 0.500], [0.809, 0.766, 0.105], [0.203, 0.160, 0.895], [0.005, 0.658, 0.500], [0.410, 0.520, 0.286], [0.000, 0.041, 0.000], [0.742, 0.851, 0.500], [0.258, 0.351, 0.500], [0.500, 0.541, 0.000]]
}

{
  "formula": "PmPr4Dy7",
  "functional": "PBE-GGA",
  "state": "optimized geometry",
  "space_group": "P-1 (2)",
  "total_energy_ev_per_cell": -55.057,
  "ef_ev_per_atom": 0.09,
  "relative_energy_ev_per_atom": 0.000,
  "cell": [[-5.850, -1.639, 3.280], [1.531, 2.470, 5.938], [-9.376, 6.810, 2.943]],
  "species": ["Dy", "Dy", "Dy", "Dy", "Dy", "Dy", "Dy", "Pr", "Pr", "Pr", "Pr", "Pm"],
  "fractional_positions": [[0.199, 0.487, 0.050], [0.801, 0.513, 0.950], [0.281, 0.812, 0.616], [0.057, 0.318, 0.642], [0.943, 0.682, 0.358], [0.500, 0.000, 0.000], [0.719, 0.188, 0.384], [0.302, 0.166, 0.309], [0.477, 0.360, 0.715], [0.698, 0.834, 0.691], [0.523, 0.640, 0.285], [0.000, 0.000, 0.000]]
}

{
  "formula": "PmPrDy2",
  "functional": "PBE-GGA",
  "state": "optimized geometry",
  "space_group": "P2_1/m (11)",
  "total_energy_ev_per_cell": -37.361,
  "ef_ev_per_atom": 0.01,
  "relative_energy_ev_per_atom": 0.001,
  "cell": [[-0.455, -1.104, 3.412], [-1.984, -6.492, -2.365], [11.692, 3.304, 2.629]],
  "species": ["Pr", "Pr", "Dy", "Dy", "Dy", "Dy", "Pm", "Pm"],
  "fractional_positions": [[0.910, 0.200, 0.865], [0.410, 0.704, 0.117], [0.411, 0.202, 0.615], [0.911, 0.702, 0.865], [0.910, 0.702, 0.367], [0.411, 0.202, 0.117], [0.910, 0.204, 0.367], [0.410, 0.700, 0.615]]
}

{
  "formula": "PmPr4Dy2",
  "functional": "PBE-GGA",
  "state": "optimized geometry",
  "space_group": "P2_1/m (11)",
  "total_energy_ev_per_cell": -64.493,
  "ef_ev_per_atom": 0.12,
  "relative_energy_ev_per_atom": 0.055,
  "cell": [[-2.711, -1.999, 5.248], [6.061, -1.218, 2.667], [1.614, 11.664, 1.660]],
  "species": ["Pr", "Pr", "Pr", "Pr", "Pr", "Pr", "Pr", "Pr", "Pm", "Pm", "Dy", "Dy", "Dy", "Dy"],
  "fractional_positions": [[0.018, 0.750, 0.856], [0.646, 0.506, 0.286], [0.354, 0.006, 0.714], [0.982, 0.250, 0.144], [0.646, 0.994, 0.286], [0.354, 0.494, 0.714], [0.150, 0.750, 0.446], [0.850, 0.250, 0.554], [0.847, 0.250, 0.844], [0.153, 0.750, 0.156], [0.402, 0.250, 0.003], [0.598, 0.750, 0.997], [0.711, 0.750, 0.569], [0.289, 0.250, 0.431]]
}

{
  "formula": "Pm12PrDy7",
  "functional": "PBE-GGA",
  "state": "optimized geometry",
  "space_group": "Im-3 (204)",
  "total_energy_ev_per_cell": -80.761,
  "ef_ev_per_atom": 0.66,
  "relative_energy_ev_per_atom": 0.506,
  "cell": [[9.414, 0.000, -3.328], [-4.707, 8.153, -3.328], [0.000, 0.000, 9.985]],
  "species": ["Pm", "Pm", "Pm", "Pm", "Pm", "Pm", "Pm", "Pm", "Pm", "Pm", "Pm", "Pm", "Dy", "Dy", "Dy", "Dy", "Dy", "Dy", "Dy", "Pr"],
  "fractional_positions": [[0.255, 0.002, 0.747], [0.255, 0.508, 0.253], [0.253, 0.255, 0.508], [0.745, 0.492, 0.747], [0.747, 0.745, 0.492], [0.508, 0.253, 0.255], [0.998, 0.253, 0.745], [0.002, 0.747, 0.255], [0.745, 0.998, 0.253], [0.253, 0.745, 0.998], [0.492, 0.747, 0.745], [0.747, 0.255, 0.002], [0.500, 0.500, 0.000], [0.500, 0.500, 0.500], [0.000, 0.000, 0.500], [0.500, 0.000, 0.500], [0.000, 0.500, 0.000], [0.000, 0.500, 0.500], [0.500, 0.000, 0.000], [0.000, 0.000, 0.000]]
}

{
  "formula": "PmPrDy2",
  "functional": "PBE-GGA",
  "state": "optimized geometry",
  "space_group": "R-3m (166)",
  "total_energy_ev_per_cell": -18.683,
  "ef_ev_per_atom": 0.01,
  "relative_energy_ev_per_atom": 0.000,
  "cell": [[-2.895, -2.141, 0.338], [0.323, -3.243, 1.568], [-3.198, 3.013, 11.061]],
  "species": ["Dy", "Dy", "Pr", "Pm"],
  "fractional_positions": [[0.249, 0.249, 0.252], [0.751, 0.751, 0.748], [0.000, 0.000, 0.000], [0.500, 0.500, 0.500]]
}

{
  "formula": "Pm7Pr2Dy",
  "functional": "PBE-GGA",
  "state": "optimized geometry",
  "space_group": "Cmmm (65)",
  "total_energy_ev_per_cell": -43.621,
  "ef_ev_per_atom": 0.38,
  "relative_energy_ev_per_atom": 0.233,
  "cell": [[3.570, 0.000, 0.000], [0.000, 9.992, -2.743], [0.000, -0.671, 10.339]],
  "species": ["Dy", "Pm", "Pm", "Pm", "Pm", "Pm", "Pm", "Pm", "Pr", "Pr"],
  "fractional_positions": [[0.000, 0.000, 0.000], [0.500, 0.380, 0.129], [0.500, 0.871, 0.620], [0.000, 0.675, 0.325], [0.500, 0.620, 0.871], [0.000, 0.325, 0.675], [0.500, 0.129, 0.380], [0.500, 0.500, 0.500], [0.500, 0.171, 0.829], [0.500, 0.829, 0.171]]
}